! PBE-GGA La2AgIrC, optimized geometry; values from VASP
! E_tot in eV per formula unit: -33.0
&SYSTEM
  ibrav = 0, nat = 5, ntyp = 4
/
ATOMIC_SPECIES
Ag 107.87 Ag.upf
C 12.01 C.upf
Ir 192.22 Ir.upf
La 138.91 La.upf
ATOMIC_POSITIONS crystal
Ag 0.500 0.500 0.500
C 0.000 0.000 0.000
Ir 0.000 0.000 0.500
La 0.500 0.000 0.000
La 0.000 0.500 0.000
CELL_PARAMETERS angstrom
5.390 0.000 0.000
0.000 5.390 0.000
0.000 0.000 3.891